A plane-wave DFT calculation with GGA-PBE was carried out for a geometry-optimized Fe2SiRh structure.

The total magnetization is 4.68 μB per formula unit. Its raw formation energy is -0.057 eV/atom.

The structure belongs to space group R-3m (No. 166, hexagonal axes); the cell edges are 2.6637, 2.6637 and 24.1860 Å and the angles 90.00°, 90.00° and 120.00°. The inequivalent atoms are Fe at (0.0000, 0.0000, 0.2453), Si at (0.0000, 0.0000, 0.5000) and Rh at (0.0000, 0.0000, 0.0000).

***

A plane-wave DFT calculation with GGA-PBE was carried out for a geometry-optimized FeSi2Rh structure.

The total magnetization is 0.00 μB per formula unit. Its raw formation energy is -0.473 eV/atom.

The structure belongs to space group Imm2 (No. 44); the cell edges are 2.805, 3.504 and 10.556 Å and the angles 90.00°, 90.00° and 90.00°. The inequivalent atoms are Fe at (0.000, 0.000, 0.000), Si at (0.000, 0.000, 0.431), Si at (0.000, 0.500, 0.671) and Rh at (0.000, 0.500, 0.261).

***

A plane-wave DFT calculation with GGA-PBE was carried out for a geometry-optimized FeSi2Rh structure.

The total magnetization is 1.57 μB per formula unit. Its raw formation energy is -0.099 eV/atom.

The structure belongs to space group R3m (No. 160, hexagonal axes); the cell edges are 2.8329, 2.8329 and 22.7693 Å and the angles 90.00°, 90.00° and 120.00°. The inequivalent atoms are Fe at (0.0000, 0.0000, 0.0000), Si at (0.0000, 0.0000, 0.2612), Si at (0.0000, 0.0000, 0.5050) and Rh at (0.0000, 0.0000, 0.7609).

***

A plane-wave DFT calculation with GGA-PBE was carried out for a geometry-optimized FeSi2Rh structure.

The total magnetization is 1.46 μB per formula unit. Its raw formation energy is -0.333 eV/atom.

The structure belongs to space group I-4m2 (No. 119); the cell edges are 3.482, 3.482 and 8.177 Å and the angles 90.00°, 90.00° and 90.00°. The inequivalent atoms are Fe at (0.000, 0.000, 0.000), Si at (0.000, 0.000, 0.500), Si at (0.000, 0.500, 0.250) and Rh at (0.000, 0.500, 0.750).

***

A plane-wave DFT calculation with GGA-PBE was carried out for a geometry-optimized TbFeSi2Rh structure.

The total magnetization is 0.00 μB per formula unit. Its raw formation energy is -0.898 eV/atom.

The structure belongs to space group I-4m2 (No. 119); the cell edges are 4.032, 4.032 and 9.736 Å and the angles 90.00°, 90.00° and 90.00°. The inequivalent atoms are Tb at (0.000, 0.000, 0.000), Fe at (0.000, 0.500, 0.250), Si at (0.000, 0.000, 0.372) and Rh at (0.000, 0.500, 0.750).

***

A plane-wave DFT calculation with GGA-PBE was carried out for a geometry-optimized ThFeSi3Rh structure.

The total magnetization is 0.00 μB per formula unit. Its raw formation energy is -0.459 eV/atom.

The structure belongs to space group Cmcm (No. 63); the cell edges are 6.190, 12.143 and 5.761 Å and the angles 90.00°, 90.00° and 90.00°. The inequivalent atoms are Th at (0.000, 0.210, 0.250), Fe at (0.000, 0.025, 0.750), Si at (0.000, 0.202, 0.750), Si at (0.214, 0.500, 0.000) and Rh at (0.000, 0.387, 0.750).

***

A plane-wave DFT calculation with GGA-PBE was carried out for a geometry-optimized TiFeSiRh structure.

The total magnetization is 0.99 μB per formula unit. Its raw formation energy is -0.702 eV/atom.

The structure belongs to space group F-43m (No. 216); the cell edges are 5.909, 5.909 and 5.909 Å and the angles 90.00°, 90.00° and 90.00°. The inequivalent atoms are Ti at (0.000, 0.000, 0.000), Fe at (0.250, 0.250, 0.750), Si at (0.000, 0.000, 0.500) and Rh at (0.250, 0.250, 0.250).

***

A plane-wave DFT calculation with GGA-PBE was carried out for a geometry-optimized TmFeSi3Rh structure.

The total magnetization is 0.00 μB per formula unit. Its raw formation energy is -0.396 eV/atom.

The structure belongs to space group Cmcm (No. 63); the cell edges are 7.194, 11.456 and 5.269 Å and the angles 90.00°, 90.00° and 90.00°. The inequivalent atoms are Tm at (0.000, 0.201, 0.250), Fe at (0.000, 0.049, 0.750), Si at (0.000, 0.233, 0.750), Si at (0.246, 0.000, 0.000) and Rh at (0.000, 0.424, 0.750).

***

A plane-wave DFT calculation with GGA-PBE was carried out for a geometry-optimized UFeSi2Rh structure.

The total magnetization is 1.63 μB per formula unit. Its raw formation energy is -0.636 eV/atom.

The structure belongs to space group I-4m2 (No. 119); the cell edges are 3.997, 3.997 and 9.728 Å and the angles 90.00°, 90.00° and 90.00°. The inequivalent atoms are U at (0.000, 0.000, 0.000), Fe at (0.000, 0.500, 0.250), Si at (0.000, 0.000, 0.378) and Rh at (0.000, 0.500, 0.750).

***

A plane-wave DFT calculation with GGA-PBE was carried out for a geometry-optimized VFeSiRh structure.

The total magnetization is 1.94 μB per formula unit. Its raw formation energy is -0.427 eV/atom.

The structure belongs to space group F-43m (No. 216); the cell edges are 5.848, 5.848 and 5.848 Å and the angles 90.00°, 90.00° and 90.00°. The inequivalent atoms are V at (0.000, 0.000, 0.000), Fe at (0.250, 0.250, 0.750), Si at (0.000, 0.000, 0.500) and Rh at (0.250, 0.250, 0.250).

***

A plane-wave DFT calculation with GGA-PBE was carried out for a geometry-optimized YFe2SiRh structure.

The total magnetization is 0.21 μB per formula unit. Its raw formation energy is 1.065 eV/atom.

The structure belongs to space group P4/mmm (No. 123); the cell edges are 4.451, 4.451 and 5.191 Å and the angles 90.00°, 90.00° and 90.00°. The inequivalent atoms are Y at (0.000, 0.000, 0.000), Fe at (0.000, 0.500, 0.500), Si at (0.500, 0.500, 0.000) and Rh at (0.000, 0.000, 0.500).

***

A plane-wave DFT calculation with GGA-PBE was carried out for a geometry-optimized SmFeRh structure.

The total magnetization is 2.42 μB per formula unit. For the formation energy, the calculation gives -0.2696 eV/atom.

The structure belongs to space group Cm (No. 8); the cell edges are 10.191, 4.052 and 5.496 Å and the angles 90.00°, 94.14° and 90.00°. The inequivalent atoms are Sm at (0.000, 0.000, 0.000), Sm at (0.101, 0.500, 0.518), Fe at (0.305, 0.000, 0.258), Fe at (0.375, 0.500, 0.482), Rh at (0.219, 0.500, 0.039) and Rh at (0.311, 0.000, 0.742).

***

Which of these has the highest total magnetization?
Fe2SiRh